No. 1
Density functional theory data (PBE-GGA) for a relaxed TbHo5Tl2 crystal.

Properties
spin magnetization = 0.0005 μB/atom
calculated formation energy = -0.112 eV per atom
SG = Immm (71)

abc: 8.398 8.398 8.398
angles: 155.25 103.13 82.23
Sites, in units of the cell vectors:
Tb1 0.000 0.000 0.000
Ho1 0.138 0.367 0.772
Ho2 0.405 0.633 0.772
Ho3 0.500 0.000 0.500
Ho4 0.595 0.367 0.228
Ho5 0.862 0.633 0.228
Tl1 0.239 0.739 0.500
Tl2 0.761 0.261 0.500

---

No. 2
Density functional theory data (PBE-GGA) for a relaxed Tb2Ho2Tl crystal.

Properties
spin magnetization = 0.0000 μB/atom
calculated formation energy = 0.062 eV per atom
SG = P4/mbm (127)

abc: 8.190 8.190 4.656
angles: 90.00 90.00 90.00
Sites, in units of the cell vectors:
Tb1 0.149 0.351 0.000
Tb2 0.351 0.851 0.000
Tb3 0.649 0.149 0.000
Tb4 0.851 0.649 0.000
Ho1 0.151 0.651 0.500
Ho2 0.349 0.151 0.500
Ho3 0.651 0.849 0.500
Ho4 0.849 0.349 0.500
Tl1 0.000 0.000 0.000
Tl2 0.500 0.500 0.000

---

No. 3
Density functional theory data (PBE-GGA) for a relaxed Tb6Ho12Tl crystal.

Properties
spin magnetization = 0.0000 μB/atom
calculated formation energy = 0.089 eV per atom
SG = R-3 (148)

abc: 8.425 8.425 8.425
angles: 88.76 88.76 88.76
Sites, in units of the cell vectors:
Tb1 0.201 0.758 0.594
Tb2 0.242 0.406 0.799
Tb3 0.406 0.799 0.242
Tb4 0.594 0.201 0.758
Tb5 0.758 0.594 0.201
Tb6 0.799 0.242 0.406
Ho1 0.040 0.934 0.279
Ho2 0.066 0.721 0.960
Ho3 0.139 0.488 0.313
Ho4 0.279 0.040 0.934
Ho5 0.313 0.139 0.488
Ho6 0.488 0.313 0.139
Ho7 0.512 0.687 0.861
Ho8 0.687 0.861 0.512
Ho9 0.721 0.960 0.066
Ho10 0.861 0.512 0.687
Ho11 0.934 0.279 0.040
Ho12 0.960 0.066 0.721
Tl1 0.500 0.500 0.500

---

No. 4
Density functional theory data (PBE-GGA) for a relaxed Tb4Ho2Tl crystal.

Properties
spin magnetization = 0.0000 μB/atom
calculated formation energy = 0.000 eV per atom
SG = P2_1/m (11)

abc: 5.650 6.762 11.644
angles: 90.00 102.84 90.00
Sites, in units of the cell vectors:
Tb1 0.113 0.250 0.142
Tb2 0.227 0.750 0.414
Tb3 0.335 0.510 0.707
Tb4 0.335 0.990 0.707
Tb5 0.665 0.010 0.293
Tb6 0.665 0.490 0.293
Tb7 0.773 0.250 0.586
Tb8 0.887 0.750 0.858
Ho1 0.209 0.250 0.437
Ho2 0.454 0.750 0.021
Ho3 0.546 0.250 0.979
Ho4 0.791 0.750 0.563
Tl1 0.014 0.750 0.142
Tl2 0.986 0.250 0.858

---

No. 5
Density functional theory data (PBE-GGA) for a relaxed TbHo3Tl crystal.

Properties
spin magnetization = 0.0000 μB/atom
calculated formation energy = -0.043 eV per atom
SG = C2/c (15)

abc: 9.797 9.797 6.507
angles: 100.36 100.36 84.12
Sites, in units of the cell vectors:
Tb1 0.037 0.172 0.464
Tb2 0.172 0.037 0.964
Tb3 0.828 0.963 0.036
Tb4 0.963 0.828 0.536
Ho1 0.093 0.712 0.023
Ho2 0.124 0.499 0.360
Ho3 0.231 0.376 0.858
Ho4 0.288 0.907 0.477
Ho5 0.376 0.231 0.358
Ho6 0.499 0.124 0.860
Ho7 0.501 0.876 0.140
Ho8 0.624 0.769 0.642
Ho9 0.712 0.093 0.523
Ho10 0.769 0.624 0.142
Ho11 0.876 0.501 0.640
Ho12 0.907 0.288 0.977
Tl1 0.333 0.667 0.750
Tl2 0.417 0.583 0.250
Tl3 0.583 0.417 0.750
Tl4 0.667 0.333 0.250

---

No. 6
Density functional theory data (PBE-GGA) for a relaxed Tb6HoTl crystal.

Properties
spin magnetization = 0.0000 μB/atom
calculated formation energy = -0.078 eV per atom
SG = P4/mmm (123)

abc: 4.909 4.909 10.076
angles: 90.00 90.00 90.00
Sites, in units of the cell vectors:
Tb1 0.000 0.000 0.000
Tb2 0.000 0.000 0.500
Tb3 0.000 0.500 0.246
Tb4 0.000 0.500 0.754
Tb5 0.500 0.000 0.246
Tb6 0.500 0.000 0.754
Ho1 0.500 0.500 0.500
Tl1 0.500 0.500 0.000

---

No. 7
Density functional theory data (PBE-GGA) for a relaxed TbHo7Tl4 crystal.

Properties
spin magnetization = 0.0002 μB/atom
calculated formation energy = -0.003 eV per atom
SG = C2/m (12)

abc: 7.990 7.990 9.753
angles: 119.22 119.22 42.22
Sites, in units of the cell vectors:
Tb1 0.000 0.000 0.000
Ho1 0.069 0.069 0.408
Ho2 0.204 0.204 0.879
Ho3 0.258 0.258 0.305
Ho4 0.500 0.500 0.000
Ho5 0.742 0.742 0.695
Ho6 0.796 0.796 0.121
Ho7 0.931 0.931 0.592
Tl1 0.315 0.315 0.663
Tl2 0.452 0.452 0.287
Tl3 0.548 0.548 0.713
Tl4 0.685 0.685 0.337

---

No. 8
Density functional theory data (PBE-GGA) for a relaxed Tb2HoTl crystal.

Properties
spin magnetization = 0.0000 μB/atom
calculated formation energy = -0.168 eV per atom
SG = Immm (71)

abc: 6.663 6.663 6.663
angles: 146.45 132.52 59.39
Sites, in units of the cell vectors:
Tb1 0.223 0.223 0.000
Tb2 0.777 0.777 0.000
Ho1 0.500 0.000 0.500
Tl1 0.000 0.500 0.500

---

No. 9
Density functional theory data (PBE-GGA) for a relaxed Tb3HoTl crystal.

Properties
spin magnetization = 0.0003 μB/atom
calculated formation energy = -0.125 eV per atom
SG = Cmcm (63)

abc: 12.894 12.894 4.816
angles: 90.00 90.00 158.45
Sites, in units of the cell vectors:
Tb1 0.049 0.951 0.750
Tb2 0.250 0.750 0.750
Tb3 0.448 0.552 0.750
Tb4 0.552 0.448 0.250
Tb5 0.750 0.250 0.250
Tb6 0.951 0.049 0.250
Ho1 0.150 0.850 0.250
Ho2 0.850 0.150 0.750
Tl1 0.347 0.653 0.250
Tl2 0.653 0.347 0.750

---

No. 10
Density functional theory data (PBE-GGA) for a relaxed Tb9Ho2Tl crystal.

Properties
spin magnetization = 0.0000 μB/atom
calculated formation energy = -0.043 eV per atom
SG = P4/mmm (123)

abc: 4.947 4.947 15.146
angles: 90.00 90.00 90.00
Sites, in units of the cell vectors:
Tb1 0.000 0.000 0.000
Tb2 0.000 0.000 0.329
Tb3 0.000 0.000 0.671
Tb4 0.000 0.500 0.163
Tb5 0.000 0.500 0.500
Tb6 0.000 0.500 0.837
Tb7 0.500 0.000 0.163
Tb8 0.500 0.000 0.500
Tb9 0.500 0.000 0.837
Ho1 0.500 0.500 0.333
Ho2 0.500 0.500 0.667
Tl1 0.500 0.500 0.000

---

No. 11
Density functional theory data (PBE-GGA) for a relaxed TbHo7Tl2 crystal.

Properties
spin magnetization = 0.0010 μB/atom
calculated formation energy = 0.369 eV per atom
SG = Cmmm (65)

abc: 9.001 9.001 5.308
angles: 90.00 90.00 118.97
Sites, in units of the cell vectors:
Tb1 0.000 0.000 0.000
Ho1 0.061 0.302 0.500
Ho2 0.226 0.774 0.000
Ho3 0.302 0.061 0.500
Ho4 0.500 0.500 0.500
Ho5 0.698 0.939 0.500
Ho6 0.774 0.226 0.000
Ho7 0.939 0.698 0.500
Tl1 0.306 0.694 0.500
Tl2 0.694 0.306 0.500

---

No. 12
Density functional theory data (PBE-GGA) for a relaxed TbHo5Tl6 crystal.

Properties
spin magnetization = 0.0000 μB/atom
calculated formation energy = -0.330 eV per atom
SG = C2/m (12)

abc: 9.282 9.282 5.353
angles: 106.67 106.67 120.34
Sites, in units of the cell vectors:
Tb1 0.000 0.000 0.000
Ho1 0.166 0.834 0.500
Ho2 0.333 0.667 0.000
Ho3 0.500 0.500 0.500
Ho4 0.667 0.333 0.000
Ho5 0.834 0.166 0.500
Tl1 0.084 0.418 0.251
Tl2 0.252 0.252 0.752
Tl3 0.418 0.084 0.251
Tl4 0.582 0.916 0.749
Tl5 0.748 0.748 0.248
Tl6 0.916 0.582 0.749

---

Number 1: DOS at the Fermi energy 1.323 states/eV/atom. Number 2: DOS at the Fermi energy 1.084 states/eV/atom. Number 3: DOS at the Fermi energy 1.378 states/eV/atom. Number 4: DOS at the Fermi energy 1.490 states/eV/atom. Number 5: DOS at the Fermi energy 1.284 states/eV/atom. Number 6: DOS at the Fermi energy 1.137 states/eV/atom. Number 7: DOS at the Fermi energy 1.121 states/eV/atom. Number 8: DOS at the Fermi energy 0.974 states/eV/atom. Number 9: DOS at the Fermi energy 1.130 states/eV/atom. Number 10: DOS at the Fermi energy 1.262 states/eV/atom. Number 11: DOS at the Fermi energy 1.960 states/eV/atom. Number 12: DOS at the Fermi energy 0.752 states/eV/atom.